[1]
PbAuCl2 | PBE-GGA | relaxed

Unit cell a=5.2908 b=4.2483 c=5.5890 alpha=90.00 beta=118.07 gamma=90.00
Space group Pm (No. 6)
Symmetry-distinct sites (fractional):
Pb: 0.0000 0.0000 0.0000
Au: 0.1987 0.5000 0.3946
Cl: 0.3961 0.0000 0.7923
Cl: 0.7179 0.5000 0.4339

Calculated values
The calculation puts the uncorrected energy at -3.138 eV per atom. The calculation puts the raw formation energy at -0.47 eV per atom. For the distance to the lowest polymorph of the same formula, the calculation gives 0 meV/atom. The value obtained for the magnetic moment is 0.000 μB per formula unit.



[2]
Pb2AuCl | PBE-GGA | relaxed

Unit cell a=3.9613 b=3.9613 c=25.0326 alpha=90.00 beta=90.00 gamma=120.00
Space group R3m (No. 160, hexagonal axes)
Symmetry-distinct sites (fractional):
Pb: 0.0000 0.0000 0.0000
Pb: 0.0000 0.0000 0.1832
Au: 0.0000 0.0000 0.5913
Cl: 0.0000 0.0000 0.7614

Calculated values
The calculation puts the uncorrected energy at -3.493 eV per atom. The calculation puts the raw formation energy at -0.36 eV per atom. For the distance to the lowest polymorph of the same formula, the calculation gives 15 meV/atom. The value obtained for the magnetic moment is 0.000 μB per formula unit.



[3]
PbAuCl2 | PBE-GGA | relaxed

Unit cell a=3.6678 b=3.6678 c=25.3266 alpha=90.00 beta=90.00 gamma=120.00
Space group R-3m (No. 166, hexagonal axes)
Symmetry-distinct sites (fractional):
Pb: 0.0000 0.0000 0.0000
Au: 0.0000 0.0000 0.5000
Cl: 0.0000 0.0000 0.2371

Calculated values
The calculation puts the uncorrected energy at -2.845 eV per atom. The calculation puts the raw formation energy at -0.18 eV per atom. For the distance to the lowest polymorph of the same formula, the calculation gives 292 meV/atom. The value obtained for the magnetic moment is 0.000 μB per formula unit.